Below is a relaxed BeReW2 crystal, with properties calculated at the PBE level.

total moment	0.000	μB/atom
uncorrected energy	-10.34	eV per atom

Lattice parameters (Å, degrees): 3.162 4.299 8.476 90.00 90.00 90.00
Space group Immm (No. 71)
Unique sites:
1 Be 0.000 0.000 0.000 [2 per cell]
2 Re 0.000 0.000 0.500 [2 per cell]
3 W 0.000 0.500 0.249 [4 per cell]